# 1
A plane-wave DFT calculation with PBE was carried out for a relaxed NdErSiPd crystal.

Output
Total DFT energy (no corrections)   -5.6541 eV/atom
Formation energy without anion corrections   -64.40 kJ per mole of atoms
Symmetry   No. 216

POSCAR file:
```
NdErSiPd
1.0
0.000 3.570 3.570
3.570 0.000 3.570
3.570 3.570 0.000
Nd Er Si Pd
1 1 1 1
Direct
0.000 0.000 0.000
0.500 0.500 0.500
0.750 0.750 0.750
0.250 0.250 0.250
```



# 2
A plane-wave DFT calculation with PBE was carried out for a relaxed Nd2SmIn2Hg2 crystal.

Output
Total DFT energy (no corrections)   -3.2226 eV/atom
ΔE_f   -317.6 meV per atom
Symmetry   No. 166

POSCAR file:
```
Nd2SmIn2Hg2
1.0
2.470 1.426 9.470
-2.470 1.426 9.470
0.000 -2.852 9.470
Nd Sm In Hg
2 1 2 2
Direct
0.128 0.128 0.128
0.872 0.872 0.872
0.000 0.000 0.000
0.259 0.259 0.259
0.741 0.741 0.741
0.390 0.390 0.390
0.610 0.610 0.610
```



# 3
A plane-wave DFT calculation with PBE was carried out for a relaxed TlCd2Bi2 crystal.

Output
Energy above the most stable polymorph in this dataset   64 meV/atom
Total DFT energy (no corrections)   -2.3205 eV/atom
ΔE_f   71.2 meV per atom
Symmetry   No. 127

POSCAR file:
```
TlCd2Bi2
1.0
9.351 0.000 0.000
0.000 9.351 0.000
0.000 0.000 3.438
Tl Cd Bi
2 4 4
Direct
0.000 0.000 0.000
0.500 0.500 0.000
0.148 0.352 0.500
0.352 0.852 0.500
0.648 0.148 0.500
0.852 0.648 0.500
0.149 0.649 0.000
0.351 0.149 0.000
0.649 0.851 0.000
0.851 0.351 0.000
```



# 4
A plane-wave DFT calculation with PBE was carried out for a relaxed Li2LaZr crystal.

Output
Energy above the most stable polymorph in this dataset   331 meV/atom
Total DFT energy (no corrections)   -3.8406 eV/atom
ΔE_f   485.2 meV per atom
Symmetry   No. 122

POSCAR file:
```
Li2LaZr
1.0
-4.063 4.063 2.951
4.063 -4.063 2.951
4.063 4.063 -2.951
Li La Zr
4 2 2
Direct
0.110 0.125 0.485
0.375 0.890 0.015
0.640 0.625 0.515
0.875 0.360 0.985
0.250 0.750 0.500
0.500 0.500 0.000
0.000 0.000 0.000
0.750 0.250 0.500
```



# 5
A plane-wave DFT calculation with PBE was carried out for a relaxed AlNiSn2C crystal.

Output
Total DFT energy (no corrections)   -3.5901 eV/atom
ΔE_f   1760.6 meV per atom
Symmetry   No. 123

POSCAR file:
```
AlNiSn2C
1.0
5.202 0.000 0.000
0.000 5.202 0.000
0.000 0.000 4.332
Al Ni Sn C
1 1 2 1
Direct
0.000 0.000 0.000
0.000 0.000 0.500
0.000 0.500 0.000
0.500 0.000 0.000
0.500 0.500 0.500
```



# 6
A plane-wave DFT calculation with PBE was carried out for a relaxed PaCrGaTc crystal.

Output
Total DFT energy (no corrections)   -8.2557 eV/atom
ΔE_f   -127.7 meV per atom
Symmetry   No. 216

POSCAR file:
```
PaCrGaTc
1.0
0.000 3.239 3.239
3.239 0.000 3.239
3.239 3.239 0.000
Pa Cr Ga Tc
1 1 1 1
Direct
0.000 0.000 0.000
0.750 0.750 0.750
0.500 0.500 0.500
0.250 0.250 0.250
```



# 7
A plane-wave DFT calculation with PBE was carried out for a relaxed TaTePt crystal.

Output
Energy above the most stable polymorph in this dataset   0 meV/atom
Total DFT energy (no corrections)   -7.0968 eV/atom
Formation energy without anion corrections   -8.21 kJ per mole of atoms
Symmetry   No. 156

POSCAR file:
```
TaTePt
1.0
3.700 0.000 0.000
-1.850 3.204 0.000
0.000 0.000 5.882
Ta Te Pt
1 1 1
Direct
0.000 0.000 0.000
0.667 0.333 0.332
0.333 0.667 0.763
```



# 8
A plane-wave DFT calculation with PBE was carried out for a relaxed KTa3I crystal.

Output
Energy above the most stable polymorph in this dataset   0 meV/atom
Total DFT energy (no corrections)   -5.4313 eV/atom
Formation energy without anion corrections   213.22 kJ per mole of atoms
Symmetry   No. 221

POSCAR file:
```
KTa3I
1.0
5.166 0.000 0.000
0.000 5.166 0.000
0.000 0.000 5.166
K Ta I
1 3 1
Direct
0.000 0.000 0.000
0.000 0.500 0.500
0.500 0.000 0.500
0.500 0.500 0.000
0.500 0.500 0.500
```